The following is a DFT calculation (GGA-PBE) of crystalline Sr3AlW at its relaxed geometry.

The space group is Pm-3m (No. 221) and the conventional cell measures 5.810, 5.810 and 5.810 Å, with angles of 90.00, 90.00 and 90.00 degrees. Symmetry generates all atoms from Sr at (0.000, 0.000, 0.500), Al at (0.500, 0.500, 0.500) and W at (0.000, 0.000, 0.000).

The calculated density is 4.01 g/cm³. The energy of formation from the pure elements comes out at 1.134 eV/atom.